Entry 1:
First-principles (PBE-GGA) data for a relaxed structure of Hg4IrW, as listed in Alexandria via LeMat-Bulk.

Output
**Symmetry**: No. 216
**Magnetic moment**: 3.00 μB per cell
**ΔH_f (0 K)**: 1.2376 eV/atom

Structure (POSCAR):
```
Hg4IrW
1.0
0.000 3.929 3.929
3.929 0.000 3.929
3.929 3.929 0.000
W Ir Hg
1 1 4
direct
0.000 0.000 0.000
0.750 0.750 0.750
0.375 0.375 0.375
0.375 0.875 0.375
0.375 0.375 0.875
0.875 0.375 0.375
```



Entry 2:
First-principles (PBE-GGA) data for a relaxed structure of SrMgMn, as listed in Alexandria via LeMat-Bulk.

Output
**Symmetry**: No. 156
**Magnetic moment**: 3.87 μB per cell
**Offset from the most stable computed form**: 0.2486 eV/atom
**ΔH_f (0 K)**: 0.5976 eV/atom

Structure (POSCAR):
```
SrMgMn
1.0
-2.573 2.528 0.307
-0.746 -3.156 -1.609
-2.077 -2.927 6.703
Mn Mg Sr
1 1 1
direct
0.667 0.333 0.308
0.000 0.000 0.043
0.333 0.667 0.650
```



Entry 3:
First-principles (PBE-GGA) data for a relaxed structure of Ce3IrRh2, as listed in Alexandria via LeMat-Bulk.

Output
**Symmetry**: No. 15
**Magnetic moment**: 1.92 μB per cell
**ΔH_f (0 K)**: -0.5907 eV/atom

Structure (POSCAR):
```
Ce3IrRh2
1.0
-3.577 -4.872 -3.342
-2.651 -1.985 5.649
-5.560 3.288 1.075
Ce Rh Ir
6 4 2
direct
0.502 0.797 0.798
0.750 0.661 0.339
0.498 0.203 0.202
0.998 0.202 0.203
0.002 0.798 0.797
0.250 0.339 0.661
0.247 0.524 0.212
0.253 0.788 0.476
0.747 0.212 0.524
0.753 0.476 0.788
0.250 0.965 0.035
0.750 0.035 0.965
```



Entry 4:
First-principles (PBE-GGA) data for a relaxed structure of KSrHg6, as listed in Alexandria via LeMat-Bulk.

Output
**Symmetry**: No. 38
**Magnetic moment**: 0.00 μB per cell
**ΔH_f (0 K)**: -0.3178 eV/atom

Structure (POSCAR):
```
KSrHg6
1.0
5.442 0.000 0.000
0.000 7.008 -0.224
0.000 -3.304 6.184
Sr Hg K
1 6 1
direct
0.000 0.084 0.916
0.000 0.596 0.940
0.000 0.060 0.404
0.500 0.907 0.566
0.500 0.434 0.093
0.000 0.593 0.407
0.500 0.910 0.090
0.500 0.415 0.585
```



Entry 5:
First-principles (PBE-GGA) data for a relaxed structure of Ac3Cu, as listed in Alexandria via LeMat-Bulk.

Output
**Symmetry**: No. 63
**Magnetic moment**: 0.00 μB per cell
**Offset from the most stable computed form**: 0.0000 eV/atom
**ΔH_f (0 K)**: -0.0500 eV/atom

Structure (POSCAR):
```
Ac3Cu
1.0
-3.699 -1.550 0.653
2.212 -2.515 -6.076
4.410 -8.386 5.077
Ac Cu
6 2
direct
0.863 0.726 0.438
0.137 0.274 0.562
0.418 0.836 0.750
0.863 0.726 0.062
0.582 0.164 0.250
0.137 0.274 0.938
0.266 0.533 0.250
0.734 0.467 0.750
```



Entry 6:
First-principles (PBE-GGA) data for a relaxed structure of Mg6FeMo, as listed in Alexandria via LeMat-Bulk.

Output
**Symmetry**: No. 38
**Magnetic moment**: 1.75 μB per cell
**Offset from the most stable computed form**: 0.0000 eV/atom
**ΔH_f (0 K)**: 0.2500 eV/atom

Structure (POSCAR):
```
Mg6FeMo
1.0
2.946 -5.422 0.000
2.946 5.422 0.000
0.000 0.000 4.703
Mg Fe Mo
6 1 1
direct
0.672 0.328 0.000
0.836 0.680 0.500
0.320 0.164 0.500
0.830 0.170 0.500
0.180 0.343 0.000
0.657 0.820 0.000
0.195 0.805 0.000
0.310 0.690 0.500
```



- Look up the magnetic moment of the sixth one.
  1.75 μB per cell



- magnetic moment of number 6 (Mg6FeMo)?
  1.75 μB per cell



- ΔH_f (0 K) of number 6 (Mg6FeMo)?
  0.2500 eV/atom



- Which formula does entry 4 have?
  KSrHg6